No. 1
# RbBiPb2I8 (PBE-GGA, optimized geometry)
data_RbBiPb2I8
_cell_length_a 7.504
_cell_length_b 7.821
_cell_length_c 9.867
_cell_angle_alpha 89.95
_cell_angle_beta 89.90
_cell_angle_gamma 88.88
_symmetry_space_group_name_H-M 'P 1'
_symmetry_Int_Tables_number 1
_symmetry_space_group_name_Hall 'P 1'
loop_
_atom_site_label
_atom_site_type_symbol
_atom_site_fract_x
_atom_site_fract_y
_atom_site_fract_z
Rb1 Rb 0.000 0.000 0.000
Bi1 Bi 0.000 0.000 0.500
Pb1 Pb 0.500 0.500 0.251
Pb2 Pb 0.500 0.500 0.749
I1 I 0.234 0.333 0.500
I2 I 0.253 0.845 0.718
I3 I 0.254 0.847 0.281
I4 I 0.270 0.374 0.000
I5 I 0.730 0.626 0.000
I6 I 0.746 0.153 0.719
I7 I 0.747 0.155 0.282
I8 I 0.766 0.667 0.500
# Space-group type: P-1, No. 2
# Uncorrected formation energy, eV per formula unit: -8.10
# Total magnetic moment, μB/atom: 0.000

***

No. 2
# BiPbS2I (PBE-GGA, optimized geometry)
data_BiPbS2I
_cell_length_a 7.591
_cell_length_b 5.389
_cell_length_c 8.727
_cell_angle_alpha 90.00
_cell_angle_beta 106.83
_cell_angle_gamma 90.00
_symmetry_space_group_name_H-M 'P 1'
_symmetry_Int_Tables_number 1
_symmetry_space_group_name_Hall 'P 1'
loop_
_atom_site_label
_atom_site_type_symbol
_atom_site_fract_x
_atom_site_fract_y
_atom_site_fract_z
Bi1 Bi 0.174 0.250 0.420
Bi2 Bi 0.826 0.750 0.580
Pb1 Pb 0.194 0.250 0.931
Pb2 Pb 0.806 0.750 0.069
S1 S 0.050 0.750 0.868
S2 S 0.058 0.750 0.406
S3 S 0.942 0.250 0.594
S4 S 0.950 0.250 0.132
I1 I 0.446 0.750 0.235
I2 I 0.554 0.250 0.765
# Space-group type: P2_1/m, No. 11
# Uncorrected formation energy, eV per formula unit: -2.19
# Total magnetic moment, μB/atom: 0.000

***

No. 3
# BiSbPbI2 (PBE-GGA, optimized geometry)
data_BiSbPbI2
_cell_length_a 6.022
_cell_length_b 6.022
_cell_length_c 6.061
_cell_angle_alpha 90.00
_cell_angle_beta 90.00
_cell_angle_gamma 90.00
_symmetry_space_group_name_H-M 'P 1'
_symmetry_Int_Tables_number 1
_symmetry_space_group_name_Hall 'P 1'
loop_
_atom_site_label
_atom_site_type_symbol
_atom_site_fract_x
_atom_site_fract_y
_atom_site_fract_z
Bi1 Bi 0.000 0.000 0.000
Sb1 Sb 0.000 0.000 0.500
Pb1 Pb 0.500 0.500 0.500
I1 I 0.000 0.500 0.000
I2 I 0.500 0.000 0.000
# Space-group type: P4/mmm, No. 123
# Uncorrected formation energy, eV per formula unit: 1.59
# Total magnetic moment, μB/atom: 0.000

***

No. 4
# BiPbSe2I (PBE-GGA, optimized geometry)
data_BiPbSe2I
_cell_length_a 7.619
_cell_length_b 5.737
_cell_length_c 8.841
_cell_angle_alpha 90.00
_cell_angle_beta 106.80
_cell_angle_gamma 90.00
_symmetry_space_group_name_H-M 'P 1'
_symmetry_Int_Tables_number 1
_symmetry_space_group_name_Hall 'P 1'
loop_
_atom_site_label
_atom_site_type_symbol
_atom_site_fract_x
_atom_site_fract_y
_atom_site_fract_z
Bi1 Bi 0.177 0.250 0.424
Bi2 Bi 0.823 0.750 0.576
Pb1 Pb 0.199 0.250 0.934
Pb2 Pb 0.801 0.750 0.066
Se1 Se 0.069 0.750 0.870
Se2 Se 0.070 0.750 0.401
Se3 Se 0.930 0.250 0.599
Se4 Se 0.931 0.250 0.130
I1 I 0.456 0.750 0.234
I2 I 0.544 0.250 0.766
# Space-group type: P2_1/m, No. 11
# Uncorrected formation energy, eV per formula unit: -2.14
# Total magnetic moment, μB/atom: 0.000

***

No. 5
# BiTe2PbI (PBE-GGA, optimized geometry)
data_BiTe2PbI
_cell_length_a 6.007
_cell_length_b 6.007
_cell_length_c 5.914
_cell_angle_alpha 90.00
_cell_angle_beta 90.00
_cell_angle_gamma 90.00
_symmetry_space_group_name_H-M 'P 1'
_symmetry_Int_Tables_number 1
_symmetry_space_group_name_Hall 'P 1'
loop_
_atom_site_label
_atom_site_type_symbol
_atom_site_fract_x
_atom_site_fract_y
_atom_site_fract_z
Bi1 Bi 0.000 0.000 0.000
Te1 Te 0.000 0.500 0.000
Te2 Te 0.500 0.000 0.000
Pb1 Pb 0.500 0.500 0.500
I1 I 0.000 0.000 0.500
# Space-group type: P4/mmm, No. 123
# Uncorrected formation energy, eV per formula unit: 1.04
# Total magnetic moment, μB/atom: 0.000

***

No. 6
# TlBiPb2I8 (PBE-GGA, optimized geometry)
data_TlBiPb2I8
_cell_length_a 7.440
_cell_length_b 9.680
_cell_length_c 7.844
_cell_angle_alpha 90.00
_cell_angle_beta 90.69
_cell_angle_gamma 90.00
_symmetry_space_group_name_H-M 'P 1'
_symmetry_Int_Tables_number 1
_symmetry_space_group_name_Hall 'P 1'
loop_
_atom_site_label
_atom_site_type_symbol
_atom_site_fract_x
_atom_site_fract_y
_atom_site_fract_z
Tl1 Tl 0.000 0.000 0.000
Bi1 Bi 0.000 0.500 0.000
Pb1 Pb 0.500 0.250 0.500
Pb2 Pb 0.500 0.750 0.500
I1 I 0.235 0.500 0.668
I2 I 0.251 0.274 0.154
I3 I 0.251 0.726 0.154
I4 I 0.268 0.000 0.640
I5 I 0.732 0.000 0.360
I6 I 0.749 0.274 0.846
I7 I 0.749 0.726 0.846
I8 I 0.765 0.500 0.332
# Space-group type: P2/m, No. 10
# Uncorrected formation energy, eV per formula unit: -6.49
# Total magnetic moment, μB/atom: 0.000